Material: Gd2ZnSe
Method: DFT, GGA-PBE
State: relaxed

Geometry as CIF:
```
data_Gd2ZnSe
_cell_length_a 4.0143
_cell_length_b 4.0143
_cell_length_c 22.0008
_cell_angle_alpha 90.00
_cell_angle_beta 90.00
_cell_angle_gamma 120.00
_symmetry_space_group_name_H-M 'R -3 m'
_symmetry_Int_Tables_number 166
_symmetry_space_group_name_Hall '-R 3 2"'
loop_
_atom_site_label
_atom_site_type_symbol
_atom_site_fract_x
_atom_site_fract_y
_atom_site_fract_z
Gd1 Gd 0.0000 0.0000 0.2467
Zn1 Zn 0.0000 0.0000 0.0000
Se1 Se 0.0000 0.0000 0.5000
```

Formation energy without anion corrections ... -1.01 eV/atom
Offset from the most stable computed form ... 0.0 meV per atom
Calculated volume ... 307 Å³ per cell